1.
A plane-wave DFT calculation with PBE was carried out for a relaxed CsBi3Cl crystal.

Results
formation energy without anion corrections: 0.219 eV/atom
crystal system: cubic

Unit cell a=5.808 b=5.808 c=5.808 alpha=90.00 beta=90.00 gamma=90.00
Space group Pm-3m (No. 221)
Asymmetric unit:
Cs1 0.000 0.000 0.000 [1 per cell]
Bi1 0.000 0.500 0.500 [3 per cell]
Cl1 0.500 0.500 0.500 [1 per cell]

2.
A plane-wave DFT calculation with PBE was carried out for a relaxed CsBi4Cl12 crystal.

Results
formation energy without anion corrections: -1.032 eV/atom
crystal system: cubic

Unit cell a=10.747 b=10.747 c=10.747 alpha=90.00 beta=90.00 gamma=90.00
Space group Im-3 (No. 204)
Asymmetric unit:
Cs1 0.000 0.000 0.000 [2 per cell]
Bi1 0.250 0.250 0.250 [8 per cell]
Cl1 0.000 0.201 0.284 [24 per cell]

3.
A plane-wave DFT calculation with PBE was carried out for a relaxed Cs2BiCl crystal.

Results
formation energy without anion corrections: -1.009 eV/atom
crystal system: tetragonal

Unit cell a=3.957 b=3.957 c=10.419 alpha=90.00 beta=90.00 gamma=90.00
Space group P4/mmm (No. 123)
Asymmetric unit:
Cs1 0.000 0.000 0.206 [2 per cell]
Bi1 0.500 0.500 0.500 [1 per cell]
Cl1 0.500 0.500 0.000 [1 per cell]

4.
A plane-wave DFT calculation with PBE was carried out for a relaxed Cs3BiCl crystal.

Results
formation energy without anion corrections: -0.621 eV/atom
crystal system: cubic

Unit cell a=7.399 b=7.399 c=7.399 alpha=90.00 beta=90.00 gamma=90.00
Space group Pm-3m (No. 221)
Asymmetric unit:
Cs1 0.000 0.000 0.500 [3 per cell]
Bi1 0.000 0.000 0.000 [1 per cell]
Cl1 0.500 0.500 0.500 [1 per cell]